P | {"formula": "ScBeNiAs", "functional": "PBE", "state": "optimized geometry", "m_tot_mub_per_cell": 0.00, "spacegroup": "F-43m", "lattice": [[1.948, -2.654, 2.762], [1.988, 1.585, 3.464], [-1.666, -0.632, 3.910]], "species": ["As", "Ni", "Be", "Sc"], "fractional_positions": [[0.250, 0.250, 0.250], [0.500, 0.500, 0.500], [0.000, 0.000, 0.000], [0.750, 0.750, 0.750]]}

***

Q | {"formula": "ScBeNiAs", "functional": "PBE", "state": "optimized geometry", "m_tot_mub_per_cell": 0.00, "spacegroup": "F-43m", "lattice": [[1.803, -2.830, 2.719], [1.200, 1.265, 3.951], [-2.191, -1.364, 3.462]], "species": ["Be", "Sc", "As", "Ni"], "fractional_positions": [[0.250, 0.250, 0.250], [0.750, 0.750, 0.750], [0.000, 0.000, 0.000], [0.500, 0.500, 0.500]]}

***

Most stable = Q

***

P | {"formula": "NpBeAs", "functional": "PBE", "state": "optimized geometry", "m_tot_mub_per_cell": 4.37, "spacegroup": "F-43m", "lattice": [[-3.574, -1.704, -1.477], [-3.380, 2.442, -0.685], [-1.252, 0.813, -3.953]], "species": ["Be", "As", "Np"], "fractional_positions": [[0.000, 0.000, 0.000], [0.250, 0.250, 0.250], [0.750, 0.750, 0.750]]}

***

Q | {"formula": "NpBeAs", "functional": "PBE", "state": "optimized geometry", "m_tot_mub_per_cell": 4.64, "spacegroup": "F-43m", "lattice": [[0.000, 3.084, 3.084], [3.084, 0.000, 3.084], [3.084, 3.084, 0.000]], "species": ["Be", "Np", "As"], "fractional_positions": [[0.250, 0.250, 0.250], [0.750, 0.750, 0.750], [0.000, 0.000, 0.000]]}

***

Most stable = P